# BaBePd2 | Alexandria via LeMat-Bulk | PBE | optimized geometry
# VASP energy	-4.332	eV/atom
# V	25.03	Å³ per atom
# spin magnetization	0.00	μB per formula unit
# ΔE_f	-0.32	eV per atom
data_BaBePd2
_chemical_formula_sum 'Ba4 Be4 Pd8'
_cell_length_a 5.244
_cell_length_b 5.244
_cell_length_c 14.567
_cell_angle_alpha 90.00
_cell_angle_beta 90.00
_cell_angle_gamma 90.00
_space_group_name_H-M_alt 'I -4 2 d'
_space_group_IT_number 122
_space_group_name_Hall 'I -4 2bw'
loop_
_atom_site_label
_atom_site_type_symbol
_atom_site_fract_x
_atom_site_fract_y
_atom_site_fract_z
_atom_site_occupancy
Ba1 Ba 0.000 0.000 0.000 1
Be1 Be 0.000 0.000 0.500 1
Pd1 Pd 0.003 0.750 0.625 1

# Sr2Cd3Sn4 | Alexandria via LeMat-Bulk | PBE | optimized geometry
# VASP energy	-2.783	eV/atom
# V	28.49	Å³ per atom
# spin magnetization	0.00	μB per formula unit
# ΔE_f	-0.32	eV per atom
data_Sr2Cd3Sn4
_chemical_formula_sum 'Sr8 Cd12 Sn16'
_cell_length_a 6.656
_cell_length_b 17.325
_cell_length_c 8.894
_cell_angle_alpha 90.00
_cell_angle_beta 90.00
_cell_angle_gamma 90.00
_space_group_name_H-M_alt 'C m c e'
_space_group_IT_number 64
_space_group_name_Hall '-C 2ac 2'
loop_
_atom_site_label
_atom_site_type_symbol
_atom_site_fract_x
_atom_site_fract_y
_atom_site_fract_z
_atom_site_occupancy
Sr1 Sr 0.000 0.110 0.089 1
Cd1 Cd 0.000 0.000 0.500 1
Cd2 Cd 0.250 0.227 0.750 1
Sn1 Sn 0.000 0.178 0.472 1
Sn2 Sn 0.250 0.057 0.750 1

# Sc2Fe2Co5Si | Alexandria via LeMat-Bulk | PBE | optimized geometry
# VASP energy	-7.218	eV/atom
# V	13.18	Å³ per atom
# spin magnetization	9.69	μB per formula unit
# ΔE_f (raw)	-0.1635	eV/atom
data_Sc2Fe2Co5Si
_chemical_formula_sum 'Sc4 Fe4 Co10 Si2'
_cell_length_a 8.702
_cell_length_b 8.702
_cell_length_c 3.481
_cell_angle_alpha 90.00
_cell_angle_beta 90.00
_cell_angle_gamma 90.00
_space_group_name_H-M_alt 'P 4/m b m'
_space_group_IT_number 127
_space_group_name_Hall '-P 4 2ab'
loop_
_atom_site_label
_atom_site_type_symbol
_atom_site_fract_x
_atom_site_fract_y
_atom_site_fract_z
_atom_site_occupancy
Sc1 Sc 0.176 0.324 0.000 1
Fe1 Fe 0.123 0.623 0.000 1
Co1 Co 0.000 0.500 0.500 1
Co2 Co 0.060 0.801 0.500 1
Si1 Si 0.000 0.000 0.000 1

# NdSc5Al3 | Alexandria via LeMat-Bulk | PBE | optimized geometry
# VASP energy	-5.592	eV/atom
# V	22.49	Å³ per atom
# spin magnetization	0.00	μB per formula unit
# ΔE_f	-0.30	eV per atom
data_NdSc5Al3
_chemical_formula_sum 'Nd2 Sc10 Al6'
_cell_length_a 8.6394
_cell_length_b 8.6394
_cell_length_c 6.2626
_cell_angle_alpha 90.00
_cell_angle_beta 90.00
_cell_angle_gamma 120.00
_space_group_name_H-M_alt 'P 63/m c m'
_space_group_IT_number 193
_space_group_name_Hall '-P 6c 2'
loop_
_atom_site_label
_atom_site_type_symbol
_atom_site_fract_x
_atom_site_fract_y
_atom_site_fract_z
_atom_site_occupancy
Nd1 Nd 0.0000 0.0000 0.0000 1
Sc1 Sc 0.0000 0.3356 0.2500 1
Sc2 Sc 0.3333 0.6667 0.0000 1
Al1 Al 0.0000 0.3422 0.7500 1

# ScBeN2O | Alexandria via LeMat-Bulk | PBE | optimized geometry
# VASP energy	-6.900	eV/atom
# V	8.97	Å³ per atom
# spin magnetization	0.00	μB per formula unit
# ΔE_f (raw)	-0.5664	eV/atom
data_ScBeN2O
_chemical_formula_sum 'Sc1 Be1 N2 O1'
_cell_length_a 3.233
_cell_length_b 3.233
_cell_length_c 4.292
_cell_angle_alpha 90.00
_cell_angle_beta 90.00
_cell_angle_gamma 90.00
_space_group_name_H-M_alt 'P 4/m m m'
_space_group_IT_number 123
_space_group_name_Hall '-P 4 2'
loop_
_atom_site_label
_atom_site_type_symbol
_atom_site_fract_x
_atom_site_fract_y
_atom_site_fract_z
_atom_site_occupancy
Sc1 Sc 0.000 0.000 0.000 1
Be1 Be 0.500 0.500 0.500 1
N1 N 0.000 0.500 0.500 1
O1 O 0.500 0.500 0.000 1

# CsNa2Te2 | Alexandria via LeMat-Bulk | PBE | optimized geometry
# VASP energy	-2.829	eV/atom
# V	38.84	Å³ per atom
# spin magnetization	0.00	μB per formula unit
# ΔE_f (raw)	-0.8741	eV/atom
data_CsNa2Te2
_chemical_formula_sum 'Cs2 Na4 Te4'
_cell_length_a 5.405
_cell_length_b 5.675
_cell_length_c 12.723
_cell_angle_alpha 90.00
_cell_angle_beta 95.49
_cell_angle_gamma 90.00
_space_group_name_H-M_alt 'P 1 21/m 1'
_space_group_IT_number 11
_space_group_name_Hall '-P 2yb'
loop_
_atom_site_label
_atom_site_type_symbol
_atom_site_fract_x
_atom_site_fract_y
_atom_site_fract_z
_atom_site_occupancy
Cs1 Cs 0.205 0.250 0.271 1
Na1 Na 0.249 0.750 0.500 1
Na2 Na 0.352 0.250 0.872 1
Te1 Te 0.108 0.750 0.004 1
Te2 Te 0.279 0.250 0.628 1

Please write out number 5 again, unchanged.
# ScBeN2O | Alexandria via LeMat-Bulk | PBE | optimized geometry
# VASP energy	-6.900	eV/atom
# V	8.97	Å³ per atom
# spin magnetization	0.00	μB per formula unit
# ΔE_f (raw)	-0.5664	eV/atom
data_ScBeN2O
_chemical_formula_sum 'Sc1 Be1 N2 O1'
_cell_length_a 3.233
_cell_length_b 3.233
_cell_length_c 4.292
_cell_angle_alpha 90.00
_cell_angle_beta 90.00
_cell_angle_gamma 90.00
_space_group_name_H-M_alt 'P 4/m m m'
_space_group_IT_number 123
_space_group_name_Hall '-P 4 2'
loop_
_atom_site_label
_atom_site_type_symbol
_atom_site_fract_x
_atom_site_fract_y
_atom_site_fract_z
_atom_site_occupancy
Sc1 Sc 0.000 0.000 0.000 1
Be1 Be 0.500 0.500 0.500 1
N1 N 0.000 0.500 0.500 1
O1 O 0.500 0.500 0.000 1

Among the records above, which one has the lowest V? ScBeN2O